Record 1
Pr2VN: optimized geometry, PBE-GGA.

extended XYZ file:
```
12
Lattice="3.5171 0.0000 0.0000 -1.7585 3.0459 0.0000 0.0000 0.0000 27.1378" Properties=species:S:1:pos:R:3 pbc="T T T"
Pr 0.0000 0.0000 3.0748
Pr 0.0000 0.0000 24.0630
Pr 0.0000 2.0306 15.0170
Pr 0.0000 2.0306 21.1667
Pr 1.7585 1.0153 5.9711
Pr 1.7585 1.0153 12.1208
V 0.0000 0.0000 0.0000
V 0.0000 2.0306 18.0919
V 1.7585 1.0153 9.0459
N 0.0000 0.0000 13.5689
N 0.0000 2.0306 4.5230
N 1.7585 1.0153 22.6148
```

Summary:
Formation energy without anion corrections, kJ/mol of atoms: 1.8
Calculated total energy, eV/atom: -6.7325
Space-group type: R-3m, No. 166
Total magnetic moment, Bohr magnetons per cell: 10.33

***

Record 2
Pr2V2N3: optimized geometry, PBE-GGA.

extended XYZ file:
```
14
Lattice="11.8069 0.0000 0.0000 0.0000 3.3539 0.0000 -2.5041 0.0000 5.1324" Properties=species:S:1:pos:R:3 pbc="T T T"
Pr 0.4501 0.0000 1.6346
Pr 2.9493 1.6769 3.4978
Pr 6.3535 1.6769 1.6346
Pr 8.8528 0.0000 3.4978
V -0.1599 1.6769 4.2574
V 3.5593 0.0000 0.8750
V 5.7436 0.0000 4.2574
V 9.4627 1.6769 0.8750
N -1.2520 1.6769 2.5662
N 0.9413 0.0000 4.0232
N 2.4581 1.6769 1.1092
N 4.6514 0.0000 2.5662
N 6.8448 1.6769 4.0232
N 8.3616 0.0000 1.1092
```

Summary:
Formation energy without anion corrections, kJ/mol of atoms: -105.2
Calculated total energy, eV/atom: -8.6292
Space-group type: C2/m, No. 12
Total magnetic moment, Bohr magnetons per cell: 0.00

***

Record 3
Pr2VWN5: optimized geometry, PBE-GGA.

extended XYZ file:
```
18
Lattice="1.6732 -7.0332 0.0000 1.6732 7.0332 0.0000 0.0000 0.0000 10.1974" Properties=species:S:1:pos:R:3 pbc="T T T"
Pr 1.6732 5.4124 5.0987
Pr 1.6732 5.1189 1.1924
Pr 1.6732 -5.1189 6.2911
Pr 1.6732 -5.4124 0.0000
V 1.6732 0.7282 2.6818
V 1.6732 -0.7282 7.7805
W 1.6732 4.0414 8.4718
W 1.6732 -4.0414 3.3731
N 1.6732 6.3517 8.6510
N 1.6732 2.9154 4.6770
N 1.6732 2.5266 1.9875
N 1.6732 2.1659 8.3363
N 1.6732 0.0276 6.1789
N 1.6732 -0.0276 1.0802
N 1.6732 -2.1659 3.2376
N 1.6732 -2.5266 7.0862
N 1.6732 -2.9154 9.7757
N 1.6732 -6.3517 3.5522
```

Summary:
Formation energy without anion corrections, kJ/mol of atoms: -94.3
Calculated total energy, eV/atom: -9.1168
Space-group type: Cmc2_1, No. 36
Total magnetic moment, Bohr magnetons per cell: 0.00

***

Record 4
PrY2VN4: optimized geometry, PBE-GGA.

extended XYZ file:
```
16
Lattice="1.7037 -5.9097 0.0000 1.7037 5.9097 0.0000 0.0000 0.0000 11.7774" Properties=species:S:1:pos:R:3 pbc="T T T"
Pr 1.7037 4.9166 8.8331
Pr 1.7037 -4.9166 2.9444
Y 1.7037 1.5311 6.3874
Y 1.7037 1.5311 11.2787
Y 1.7037 -1.5311 0.4987
Y 1.7037 -1.5311 5.3900
V 1.7037 3.8375 2.9444
V 1.7037 -3.8375 8.8331
N 0.0000 0.0000 0.0000
N 0.0000 0.0000 5.8887
N 1.7037 2.7970 1.4721
N 1.7037 2.7970 4.4166
N 1.7037 0.9526 8.8331
N 1.7037 -0.9526 2.9444
N 1.7037 -2.7970 7.3608
N 1.7037 -2.7970 10.3053
```

Summary:
Formation energy without anion corrections, kJ/mol of atoms: -129.9
Calculated total energy, eV/atom: -8.8625
Space-group type: Cmcm, No. 63
Total magnetic moment, Bohr magnetons per cell: 0.44

***

Record 5
PrZr2VN4: optimized geometry, PBE-GGA.

extended XYZ file:
```
16
Lattice="1.6491 -5.7291 0.0000 1.6491 5.7291 0.0000 0.0000 0.0000 11.2161" Properties=species:S:1:pos:R:3 pbc="T T T"
Pr 1.6491 4.6453 8.4121
Pr 1.6491 -4.6453 2.8040
Zr 1.6491 1.4989 6.0871
Zr 1.6491 1.4989 10.7370
Zr 1.6491 -1.4989 0.4791
Zr 1.6491 -1.4989 5.1290
V 1.6491 3.8226 2.8040
V 1.6491 -3.8226 8.4121
N 0.0000 0.0000 0.0000
N 0.0000 0.0000 5.6081
N 1.6491 2.7047 1.3183
N 1.6491 2.7047 4.2897
N 1.6491 0.8171 8.4121
N 1.6491 -0.8171 2.8040
N 1.6491 -2.7047 6.9264
N 1.6491 -2.7047 9.8978
```

Summary:
Formation energy without anion corrections, kJ/mol of atoms: -132.2
Calculated total energy, eV/atom: -9.4069
Space-group type: Cmcm, No. 63
Total magnetic moment, Bohr magnetons per cell: 0.00

***

Record 6
Pr3W2N8: optimized geometry, PBE-GGA.

extended XYZ file:
```
13
Lattice="2.8908 1.6690 6.8474 -2.8908 1.6690 6.8474 0.0000 -3.3380 6.8474" Properties=species:S:1:pos:R:3 pbc="T T T"
Pr 0.0000 0.0000 0.0000
Pr 0.0000 0.0000 4.0814
Pr 0.0000 0.0000 16.4607
W 0.0000 0.0000 8.3301
W 0.0000 0.0000 12.2121
N -1.5185 -0.8767 11.5592
N 0.0000 -1.7534 8.9830
N -1.5185 0.8767 8.9830
N 0.0000 0.0000 6.4814
N 0.0000 0.0000 14.0608
N 1.5185 -0.8767 11.5592
N 0.0000 1.7534 11.5592
N 1.5185 0.8767 8.9830
```

Summary:
Formation energy without anion corrections, kJ/mol of atoms: -55.2
Calculated total energy, eV/atom: -8.7911
Space-group type: R-3m, No. 166
Total magnetic moment, Bohr magnetons per cell: 2.60

***

Record 7
PrW2N6: optimized geometry, PBE-GGA.

extended XYZ file:
```
18
Lattice="0.0000 5.0229 5.0229 5.0229 0.0000 5.0229 5.0229 5.0229 0.0000" Properties=species:S:1:pos:R:3 pbc="T T T"
Pr 1.2557 1.2557 1.2557
Pr 8.7900 8.7900 8.7900
W 5.0229 2.5114 2.5114
W 2.5114 5.0229 2.5114
W 2.5114 2.5114 5.0229
W 5.0229 5.0229 5.0229
N 3.7672 3.7672 1.6050
N 3.7672 1.6050 3.7672
N 5.9293 3.7672 3.7672
N 6.2786 6.2786 4.1164
N 6.2786 4.1164 6.2786
N 8.4408 6.2786 6.2786
N 1.6050 3.7672 3.7672
N 3.7672 5.9293 3.7672
N 3.7672 3.7672 5.9293
N 4.1164 6.2786 6.2786
N 6.2786 8.4408 6.2786
N 6.2786 6.2786 8.4408
```

Summary:
Formation energy without anion corrections, kJ/mol of atoms: 38.3
Calculated total energy, eV/atom: -8.5630
Space-group type: Fd-3m, No. 227
Total magnetic moment, Bohr magnetons per cell: 0.00

***

Record 8
Pr3W2N7: optimized geometry, PBE-GGA.

extended XYZ file:
```
12
Lattice="2.0141 -10.6750 0.0000 2.0141 10.6750 0.0000 0.0000 0.0000 3.9154" Properties=species:S:1:pos:R:3 pbc="T T T"
Pr 0.0000 0.0000 0.0000
Pr 2.0141 6.8923 0.0000
Pr 2.0141 -6.8923 0.0000
W 2.0141 2.0948 1.9577
W 2.0141 -2.0948 1.9577
N 2.0141 8.6584 1.9577
N 2.0141 4.0951 1.9577
N 2.0141 2.0553 0.0000
N 2.0141 0.0000 1.9577
N 2.0141 -2.0553 0.0000
N 2.0141 -4.0951 1.9577
N 2.0141 -8.6584 1.9577
```

Summary:
Formation energy without anion corrections, kJ/mol of atoms: -76.2
Calculated total energy, eV/atom: -8.9999
Space-group type: Cmmm, No. 65
Total magnetic moment, Bohr magnetons per cell: 0.00